{
  "formula": "Sr2TmAuO4",
  "functional": "PBE",
  "state": "relaxed",
  "lattice_angstrom": [[6.4466, -0.8967, -1.3737], [-3.5581, 5.4500, 1.3737], [-3.5581, -0.9357, 5.5420]],
  "species": ["Au", "Sr", "Sr", "O", "O", "O", "O", "Tm"],
  "frac_coords": [[0.0000, 0.5000, 0.5000], [0.5000, 0.7500, 0.2500], [0.0000, 0.0000, 0.0000], [0.4907, 0.3611, 0.4062], [0.0451, 0.1296, 0.6389], [0.5093, 0.9155, 0.8704], [0.9549, 0.5938, 0.0845], [0.5000, 0.2500, 0.7500]],
  "magmom_total_mub_per_atom": 0.00,
  "dft_energy_ev_per_fu": -48.84,
  "volume_a3_per_atom": 19.81
}